No. 1
! KTiCo3, relaxed, DFT PBE; values from VASP
&SYSTEM
  ibrav = 0, nat = 5, ntyp = 3
/
ATOMIC_SPECIES
K 39.10 K.upf
Ti 47.87 Ti.upf
Co 58.93 Co.upf
ATOMIC_POSITIONS crystal
K 0.000 0.000 0.000
Ti 0.500 0.500 0.500
Co 0.000 0.500 0.500
Co 0.500 0.000 0.500
Co 0.500 0.500 0.000
CELL_PARAMETERS angstrom
4.541 0.000 0.000
0.000 4.541 0.000
0.000 0.000 4.541
! E_form: 1124 meV/atom
! Calculated total energy: -4.94 eV/atom
! V: 18.723 Å³/atom
! Crystal system: cubic
! M_tot: 1.85 μB per formula unit
! Energy relative to the lowest polymorph listed for this composition: 0 meV/atom

=====

No. 2
! K2TiCo, relaxed, DFT PBE; values from VASP
&SYSTEM
  ibrav = 0, nat = 8, ntyp = 3
/
ATOMIC_SPECIES
K 39.10 K.upf
Ti 47.87 Ti.upf
Co 58.93 Co.upf
ATOMIC_POSITIONS crystal
K 0.375 0.204 0.329
K 0.796 0.125 0.171
K 0.875 0.046 0.671
K 0.954 0.625 0.829
Ti 0.250 0.750 0.500
Ti 0.500 0.500 0.000
Co 0.000 0.000 0.000
Co 0.750 0.250 0.500
CELL_PARAMETERS angstrom
-6.329 6.329 2.110
6.329 -6.329 2.110
6.329 6.329 -2.110
! E_form: 901 meV/atom
! Calculated total energy: -3.40 eV/atom
! V: 42.255 Å³/atom
! Crystal system: tetragonal
! M_tot: 0.00 μB per formula unit
! Energy relative to the lowest polymorph listed for this composition: 0 meV/atom